Record 1
VASP calculation (PBE) on crystalline Sm3H3N at its relaxed geometry.

abc: 6.4643 6.4643 7.0581
angles: 62.75 62.75 60.00
Fractional positions:
N1 0.3331 0.3331 0.0008
H1 0.1237 0.4462 0.6268
Sm1 0.7280 0.4302 0.7602
Sm2 0.0816 0.7280 0.7602
H2 0.5538 0.1967 0.3732
Sm3 0.4302 0.0816 0.7602
N2 0.6669 0.6669 0.9992
Sm4 0.5698 0.9184 0.2398
H3 0.8763 0.5538 0.3732
Sm5 0.9184 0.2720 0.2398
H4 0.1967 0.8763 0.3732
H5 0.4462 0.8033 0.6268
H6 0.8033 0.1237 0.6268
Sm6 0.2720 0.5698 0.2398

DFT total energy	-5.476	eV/atom
D(E_F)	2.990	states/eV/f.u.

Record 2
VASP calculation (PBE) on crystalline SnHN3 at its relaxed geometry.

abc: 3.4801 3.4801 3.4801
angles: 90.00 90.00 90.00
Fractional positions:
N1 0.0000 0.0000 0.5000
N2 0.5000 0.0000 0.0000
H1 0.0000 0.0000 0.0000
N3 0.0000 0.5000 0.0000
Sn1 0.5000 0.5000 0.5000

DFT total energy	-4.284	eV/atom
D(E_F)	3.118	states/eV/f.u.

Record 3
VASP calculation (PBE) on crystalline Sn2HN at its relaxed geometry.

abc: 5.3744 5.3744 6.1120
angles: 63.92 63.92 90.00
Fractional positions:
Sn1 0.1282 0.6250 0.2500
H1 0.2500 0.7500 0.5000
Sn2 0.8750 0.8718 0.7500
Sn3 0.3750 0.3782 0.7500
N1 0.7500 0.2500 0.5000
Sn4 0.6218 0.1250 0.2500
N2 0.0000 0.0000 0.0000
H2 0.5000 0.5000 0.0000

DFT total energy	-4.445	eV/atom
D(E_F)	0.000	states/eV/f.u.